Below is a relaxed structure of Na3LaV4O12, with properties calculated at the GGA+U level.

Lattice parameters (Å, degrees): 11.4568 11.4568 8.4285 90.00 90.00 120.00
Space group R32 (No. 155, hexagonal axes)
One atom of each set of equivalent atoms:
Na  0.0000  0.5499  0.0000 [9 per cell]
La  0.0000  0.0000  0.0000 [3 per cell]
V  0.0000  0.0000  0.5000 [3 per cell]
V  0.0000  0.4519  0.5000 [9 per cell]
O  0.0000  0.5964  0.5000 [9 per cell]
O  0.0000  0.8533  0.5000 [9 per cell]
O  0.0239  0.1934  0.1647 [18 per cell]

- E: -400.251 eV per cell